A relaxed Zn2InO crystal. Source: Alexandria via LeMat-Bulk, functional PBE.

Lattice parameters (Å, degrees): 5.926 5.926 8.538 90.00 90.00 90.00
Space group I-42d (No. 122)
Inequivalent atoms, fractional coordinates:
Zn 0.147 0.250 0.125 (multiplicity 8)
In 0.000 0.000 0.500 (multiplicity 4)
O 0.000 0.000 0.000 (multiplicity 4)

Computed properties:
**Volume**: 18.7 A^3/atom
**Final energy**: -12.038 eV per formula unit
**Energy relative to the lowest polymorph listed for this composition**: 0.0 kJ per mole of atoms

---

A relaxed SrAs2OsW crystal. Source: Alexandria via LeMat-Bulk, functional PBE.

Lattice parameters (Å, degrees): 4.765 4.765 5.742 90.00 90.00 90.00
Space group P4/mmm (No. 123)
Inequivalent atoms, fractional coordinates:
Sr 0.000 0.000 0.000 (multiplicity 1)
As 0.000 0.500 0.500 (multiplicity 2)
Os 0.000 0.000 0.500 (multiplicity 1)
W 0.500 0.500 0.000 (multiplicity 1)

Computed properties:
**Volume**: 26.1 A^3/atom
**Final energy**: -28.731 eV per formula unit
**Energy relative to the lowest polymorph listed for this composition**: 48.3 kJ per mole of atoms
**Energy of formation**: 1.287 eV per atom

---

A relaxed Pm2InPt crystal. Source: Alexandria via LeMat-Bulk, functional PBE.

Lattice parameters (Å, degrees): 3.4295 3.4295 32.1803 90.00 90.00 120.00
Space group R-3m (No. 166, hexagonal axes)
Inequivalent atoms, fractional coordinates:
Pm 0.0000 0.0000 0.0837 (multiplicity 6)
In 0.0000 0.0000 0.5000 (multiplicity 3)
Pt 0.0000 0.0000 0.0000 (multiplicity 3)

Computed properties:
**Volume**: 27.3 A^3/atom
**Final energy**: -18.394 eV per formula unit
**Energy of formation**: -0.028 eV per atom

---

A relaxed ScReSiHg2 crystal. Source: Alexandria via LeMat-Bulk, functional PBE.

Lattice parameters (Å, degrees): 5.254 5.254 4.849 90.00 90.00 90.00
Space group P4/mmm (No. 123)
Inequivalent atoms, fractional coordinates:
Sc 0.000 0.000 0.000 (multiplicity 1)
Re 0.000 0.000 0.500 (multiplicity 1)
Si 0.500 0.500 0.000 (multiplicity 1)
Hg 0.000 0.500 0.500 (multiplicity 2)

Computed properties:
**Volume**: 26.8 A^3/atom
**Final energy**: -19.653 eV per formula unit

---

A relaxed Li2NdAs2Au2 crystal. Source: Alexandria via LeMat-Bulk, functional PBE.

Lattice parameters (Å, degrees): 4.3774 4.3774 23.7588 90.00 90.00 120.00
Space group R-3m (No. 166, hexagonal axes)
Inequivalent atoms, fractional coordinates:
Li 0.0000 0.0000 0.1469 (multiplicity 6)
Nd 0.0000 0.0000 0.0000 (multiplicity 3)
As 0.0000 0.0000 0.2606 (multiplicity 6)
Au 0.0000 0.0000 0.4380 (multiplicity 6)

Computed properties:
**Volume**: 18.8 A^3/atom
**Final energy**: -29.834 eV per formula unit
**Energy of formation**: -0.769 eV per atom

---

A relaxed KNa2HgAu crystal. Source: Alexandria via LeMat-Bulk, functional PBE.

Lattice parameters (Å, degrees): 5.735 5.735 5.429 90.00 90.00 90.00
Space group P4/mmm (No. 123)
Inequivalent atoms, fractional coordinates:
K 0.000 0.000 0.000 (multiplicity 1)
Na 0.000 0.500 0.500 (multiplicity 2)
Hg 0.500 0.500 0.500 (multiplicity 1)
Au 0.500 0.500 0.000 (multiplicity 1)

Computed properties:
**Volume**: 35.7 A^3/atom
**Final energy**: -7.755 eV per formula unit
**Energy relative to the lowest polymorph listed for this composition**: 8.6 kJ per mole of atoms
**Energy of formation**: -0.088 eV per atom

---

A relaxed CdOs3 crystal. Source: Alexandria via LeMat-Bulk, functional PBE.

Lattice parameters (Å, degrees): 9.285 2.785 4.900 90.00 99.64 90.00
Space group C2/m (No. 12)
Inequivalent atoms, fractional coordinates:
Cd 0.000 0.000 0.000 (multiplicity 2)
Os 0.000 0.500 0.500 (multiplicity 2)
Os 0.237 0.000 0.725 (multiplicity 4)

Computed properties:
**Volume**: 15.6 A^3/atom
**Final energy**: -32.304 eV per formula unit
**Energy relative to the lowest polymorph listed for this composition**: 32.6 kJ per mole of atoms
**Energy of formation**: 0.575 eV per atom

---

A relaxed Rb2YBe2S4 crystal. Source: Alexandria via LeMat-Bulk, functional PBE.

Lattice parameters (Å, degrees): 14.680 3.719 8.024 90.00 110.72 90.00
Space group C2/m (No. 12)
Inequivalent atoms, fractional coordinates:
Rb 0.131 0.000 0.043 (multiplicity 4)
Y 0.000 0.000 0.500 (multiplicity 2)
Be 0.172 0.500 0.475 (multiplicity 4)
S 0.036 0.500 0.274 (multiplicity 4)
S 0.205 0.000 0.634 (multiplicity 4)

Computed properties:
**Volume**: 22.8 A^3/atom
**Final energy**: -43.156 eV per formula unit

---

A relaxed Hf2Sc3TiN6 crystal. Source: Alexandria via LeMat-Bulk, functional PBE.

Lattice parameters (Å, degrees): 13.842 3.166 6.341 90.00 103.61 90.00
Space group C2/m (No. 12)
Inequivalent atoms, fractional coordinates:
Hf 0.164 0.000 0.327 (multiplicity 4)
Sc 0.000 0.500 0.500 (multiplicity 2)
Sc 0.164 0.000 0.835 (multiplicity 4)
Ti 0.000 0.500 0.000 (multiplicity 2)
N 0.001 0.000 0.244 (multiplicity 4)
N 0.164 0.500 0.085 (multiplicity 4)
N 0.168 0.500 0.579 (multiplicity 4)

Computed properties:
**Volume**: 11.3 A^3/atom
**Final energy**: -119.350 eV per formula unit

---

A relaxed Li8SmAg6 crystal. Source: Alexandria via LeMat-Bulk, functional PBE.

Lattice parameters (Å, degrees): 7.7328 7.7328 16.4328 90.00 90.00 120.00
Space group R-3 (No. 148, hexagonal axes)
Inequivalent atoms, fractional coordinates:
Li 0.0000 0.0000 0.2456 (multiplicity 6)
Li 0.0018 0.6628 0.0359 (multiplicity 18)
Sm 0.0000 0.0000 0.5000 (multiplicity 3)
Ag 0.0121 0.2435 0.1244 (multiplicity 18)

Computed properties:
**Volume**: 18.9 A^3/atom
**Final energy**: -38.375 eV per formula unit
**Energy of formation**: -0.082 eV per atom

---

A relaxed SrZn2Pt crystal. Source: Alexandria via LeMat-Bulk, functional PBE.

Lattice parameters (Å, degrees): 7.722 4.466 5.943 90.00 115.87 90.00
Space group Cm (No. 8)
Inequivalent atoms, fractional coordinates:
Sr 0.000 0.000 0.000 (multiplicity 2)
Zn 0.191 0.000 0.571 (multiplicity 2)
Zn 0.478 0.000 0.434 (multiplicity 2)
Pt 0.307 0.500 0.422 (multiplicity 2)

Computed properties:
**Volume**: 23.1 A^3/atom
**Final energy**: -12.529 eV per formula unit
**Energy of formation**: -0.565 eV per atom

---

A relaxed Y4MgAu crystal. Source: Alexandria via LeMat-Bulk, functional PBE.

Lattice parameters (Å, degrees): 8.867 8.867 8.867 90.00 90.00 90.00
Space group F-43m (No. 216)
Inequivalent atoms, fractional coordinates:
Y 0.125 0.125 0.125 (multiplicity 16)
Mg 0.000 0.000 0.500 (multiplicity 4)
Au 0.250 0.250 0.750 (multiplicity 4)

Computed properties:
**Volume**: 29.0 A^3/atom
**Final energy**: -28.795 eV per formula unit
**Energy relative to the lowest polymorph listed for this composition**: 64.7 kJ per mole of atoms
**Energy of formation**: 0.322 eV per atom

---

Q: Among the records above, which one has the highest volume?
A: KNa2HgAu